Record 1
Ir3RuBr: optimized geometry, PBE-GGA.

Structure (POSCAR):
```
Ir3RuBr
1.0
-2.6815 0.2945 3.7035
2.5815 -3.1370 2.1185
2.6718 3.3265 1.6701
Ru Ir Br
1 3 1
Cartesian
1.2859 0.2420 3.7460
1.2907 -1.5685 1.0593
1.3359 1.6632 0.8350
-1.3408 0.1472 1.8517
0.0000 0.0000 0.0000
```

Output
Space-group type: Pm-3m, No. 221
Final energy in eV/f.u.: -26.6
Raw formation energy in meV per atom: 2181
Crystal system: cubic
Offset from the most stable computed form in eV/atom: 0.199

=====

Record 2
IrRu2Br: optimized geometry, PBE-GGA.

Structure (POSCAR):
```
IrRu2Br
1.0
5.0980 -0.0132 -0.0257
4.2994 2.7394 -0.0257
0.2986 0.0866 4.4755
Ru Ir Br
2 1 1
Cartesian
0.0445 0.0129 0.0402
7.0041 2.0319 3.3604
2.6551 0.7702 0.9729
4.8402 1.4041 2.2627
```

Output
Space-group type: Cm, No. 8
Final energy in eV/f.u.: -26.1
Raw formation energy in meV per atom: 753
Crystal system: monoclinic
Offset from the most stable computed form in eV/atom: 0.206

=====

Record 3
Ir2RuBr: optimized geometry, PBE-GGA.

Structure (POSCAR):
```
Ir2RuBr
1.0
-0.6982 -4.5275 0.9359
4.0935 -1.9242 -1.1842
-0.7158 3.6377 2.8489
Ru Ir Br
1 2 1
Cartesian
1.6977 -3.2259 -0.1241
0.0000 0.0000 0.0000
2.5377 -0.7562 0.7703
0.1418 -2.0578 1.8304
```

Output
Space-group type: I-4m2, No. 119
Final energy in eV/f.u.: -24.5
Raw formation energy in meV per atom: 1041
Crystal system: tetragonal
Offset from the most stable computed form in eV/atom: 0.500

=====

Record 4
IrRu2Br: optimized geometry, PBE-GGA.

Structure (POSCAR):
```
IrRu2Br
1.0
9.7538 -0.0124 -0.0073
9.3516 2.7721 -0.0073
9.3516 1.3508 2.4207
Ru Ir Br
2 1 1
Cartesian
28.3167 4.0902 2.3943
7.3124 1.0562 0.6183
20.9409 3.0248 1.7707
14.5726 2.1049 1.2322
```

Output
Space-group type: R3m, No. 160
Final energy in eV/f.u.: -26.6
Raw formation energy in meV per atom: 622
Crystal system: trigonal
Offset from the most stable computed form in eV/atom: 0.075